The following is a meta-GGA SCAN calculation of a crystal of MnSbI2O relaxed with PBEsol, from Alexandria.

Geometry as CIF:
```
data_MnSbI2O
_symmetry_space_group_name_H-M 'P 4/m m m'
_symmetry_Int_Tables_number 123
_symmetry_space_group_name_Hall '-P 4 2'
_cell_length_a 5.6748
_cell_length_b 5.6748
_cell_length_c 3.6356
_cell_angle_alpha 90.00
_cell_angle_beta 90.00
_cell_angle_gamma 90.00
loop_
_atom_site_label
_atom_site_fract_x
_atom_site_fract_y
_atom_site_fract_z
_atom_site_occupancy
Mn1 0.0000 0.0000 0.0000 1
Sb1 0.5000 0.5000 0.5000 1
I1 0.0000 0.5000 0.0000 1
O1 0.0000 0.0000 0.5000 1
```

Results
DOS(E_F), states/eV/f.u.: 2.824
VASP energy, eV per cell: -137.456
Uncorrected formation energy, eV/atom: -0.445

=====

The following is a meta-GGA SCAN calculation of a crystal of Li3VCr3O8 relaxed with PBEsol, from Alexandria.

Geometry as CIF:
```
data_Li3VCr3O8
_symmetry_space_group_name_H-M 'P 1'
_symmetry_Int_Tables_number 1
_cell_length_a 5.0611
_cell_length_b 7.6316
_cell_length_c 7.6584
_cell_angle_alpha 81.83
_cell_angle_beta 83.95
_cell_angle_gamma 71.11
loop_
_symmetry_equiv_pos_as_xyz
'x,y,z'
loop_
_atom_site_label
_atom_site_fract_x
_atom_site_fract_y
_atom_site_fract_z
_atom_site_occupancy
Li1 0.0000 0.0000 0.0000 1
Li2 0.0016 0.2565 0.2615 1
Li3 0.0049 0.3740 0.8813 1
Li4 0.0097 0.4924 0.5037 1
Li5 0.9920 0.8814 0.3829 1
Li6 0.9967 0.7529 0.7708 1
V1 0.4873 0.8132 0.5682 1
V2 0.5004 0.5730 0.3176 1
Cr1 0.4927 0.3168 0.0725 1
Cr2 0.4985 0.0649 0.8178 1
Cr3 0.5044 0.1877 0.4484 1
Cr4 0.5049 0.6868 0.9486 1
Cr5 0.5105 0.4387 0.6943 1
Cr6 0.5129 0.9356 0.1939 1
O1 0.2638 0.6546 0.5374 1
O2 0.2784 0.1495 0.0390 1
O3 0.2833 0.7813 0.1639 1
O4 0.2857 0.8936 0.7893 1
O5 0.2875 0.0212 0.4087 1
O6 0.2877 0.4009 0.2947 1
O7 0.2897 0.5251 0.9069 1
O8 0.2910 0.2820 0.6615 1
O9 0.7123 0.2300 0.8580 1
O10 0.7125 0.9665 0.6034 1
O11 0.7164 0.4727 0.1079 1
O12 0.7176 0.3617 0.4693 1
O13 0.7179 0.8564 0.9733 1
O14 0.7254 0.1009 0.2290 1
O15 0.7286 0.6029 0.7283 1
O16 0.7305 0.7252 0.3591 1
```

Results
DOS(E_F), states/eV/f.u.: 0.054
VASP energy, eV per cell: -334.517
Uncorrected formation energy, eV/atom: -2.506

=====

The following is a meta-GGA SCAN calculation of a crystal of LaHfAu3 relaxed with PBEsol, from Alexandria.

Geometry as CIF:
```
data_LaHfAu3
_symmetry_space_group_name_H-M 'P m -3 m'
_symmetry_Int_Tables_number 221
_symmetry_space_group_name_Hall '-P 4 2 3'
_cell_length_a 5.2324
_cell_length_b 5.2324
_cell_length_c 5.2324
_cell_angle_alpha 90.00
_cell_angle_beta 90.00
_cell_angle_gamma 90.00
loop_
_atom_site_label
_atom_site_fract_x
_atom_site_fract_y
_atom_site_fract_z
_atom_site_occupancy
La1 0.0000 0.0000 0.0000 1
Hf1 0.5000 0.5000 0.5000 1
Au1 0.0000 0.0000 0.5000 1
```

Results
DOS(E_F), states/eV/f.u.: 3.532
Energy of formation, eV per atom: 0.798
VASP energy, eV per cell: -309.258

=====

The following is a meta-GGA SCAN calculation of a crystal of HfNiSe2 relaxed with PBEsol, from Alexandria.

Geometry as CIF:
```
data_HfNiSe2
_symmetry_space_group_name_H-M 'F m -3 m'
_symmetry_Int_Tables_number 225
_symmetry_space_group_name_Hall '-F 4 2 3'
_cell_length_a 6.4135
_cell_length_b 6.4135
_cell_length_c 6.4135
_cell_angle_alpha 90.00
_cell_angle_beta 90.00
_cell_angle_gamma 90.00
loop_
_atom_site_label
_atom_site_fract_x
_atom_site_fract_y
_atom_site_fract_z
_atom_site_occupancy
Hf1 0.0000 0.0000 0.0000 1
Ni1 0.0000 0.0000 0.5000 1
Se1 0.2500 0.2500 0.2500 1
```

Results
DOS(E_F), states/eV/f.u.: 1.205
VASP energy, eV per cell: -482.479
Uncorrected formation energy, eV/atom: -0.404

=====

The following is a meta-GGA SCAN calculation of a crystal of CdCu2SiTe4 relaxed with PBEsol, from Alexandria.

Geometry as CIF:
```
data_CdCu2SiTe4
_symmetry_space_group_name_H-M 'I -4 2 m'
_symmetry_Int_Tables_number 121
_symmetry_space_group_name_Hall 'I -4 2'
_cell_length_a 6.0900
_cell_length_b 6.0900
_cell_length_c 11.7683
_cell_angle_alpha 90.00
_cell_angle_beta 90.00
_cell_angle_gamma 90.00
loop_
_atom_site_label
_atom_site_fract_x
_atom_site_fract_y
_atom_site_fract_z
_atom_site_occupancy
Cd1 0.0000 0.0000 0.0000 1
Cu1 0.0000 0.5000 0.2500 1
Si1 0.0000 0.0000 0.5000 1
Te1 0.2312 0.2312 0.3640 1
```

Results
VASP energy, eV per cell: -442.626
Uncorrected formation energy, eV/atom: -0.185

=====

The following is a meta-GGA SCAN calculation of a crystal of Zr2FeH5 relaxed with PBEsol, from Alexandria.

Geometry as CIF:
```
data_Zr2FeH5
_symmetry_space_group_name_H-M 'P 4/n c c'
_symmetry_Int_Tables_number 130
_cell_length_a 6.7983
_cell_length_b 6.7983
_cell_length_c 5.5666
_cell_angle_alpha 90.00
_cell_angle_beta 90.00
_cell_angle_gamma 90.00
loop_
_symmetry_equiv_pos_as_xyz
'x,y,z'
'-x,-y,-z'
'-y+1/2,x,z'
'y+1/2,-x,-z'
'-x+1/2,-y+1/2,z'
'x+1/2,y+1/2,-z'
'y,-x+1/2,z'
'-y,x+1/2,-z'
'x+1/2,-y,-z+1/2'
'-x+1/2,y,z+1/2'
'-y,-x,-z+1/2'
'y,x,z+1/2'
'-x,y+1/2,-z+1/2'
'x,-y+1/2,z+1/2'
'y+1/2,x+1/2,-z+1/2'
'-y+1/2,-x+1/2,z+1/2'
loop_
_atom_site_label
_atom_site_fract_x
_atom_site_fract_y
_atom_site_fract_z
_atom_site_occupancy
Zr1 0.0883 0.5883 0.2500 1
Fe1 0.2500 0.2500 0.0088 1
H1 0.0358 0.1681 0.5728 1
H2 0.2500 0.7500 0.0000 1
```

Results
DOS(E_F), states/eV/f.u.: 1.919
VASP energy, eV per cell: -401.633

=====

The following is a meta-GGA SCAN calculation of a crystal of In2PSe relaxed with PBEsol, from Alexandria.

Geometry as CIF:
```
data_In2PSe
_symmetry_space_group_name_H-M 'P m m m'
_symmetry_Int_Tables_number 47
_cell_length_a 3.4790
_cell_length_b 4.8160
_cell_length_c 4.9996
_cell_angle_alpha 90.00
_cell_angle_beta 90.00
_cell_angle_gamma 90.00
loop_
_symmetry_equiv_pos_as_xyz
'x,y,z'
'-x,-y,-z'
'-x,-y,z'
'x,y,-z'
'x,-y,-z'
'-x,y,z'
'-x,y,-z'
'x,-y,z'
loop_
_atom_site_label
_atom_site_fract_x
_atom_site_fract_y
_atom_site_fract_z
_atom_site_occupancy
In1 0.0000 0.0000 0.0000 1
In2 0.0000 0.5000 0.5000 1
P1 0.5000 0.0000 0.5000 1
Se1 0.5000 0.5000 0.0000 1
```

Results
DOS(E_F), states/eV/f.u.: 2.145
VASP energy, eV per cell: -96.510
Uncorrected formation energy, eV/atom: 0.185

=====

The following is a meta-GGA SCAN calculation of a crystal of CdHgPb relaxed with PBEsol, from Alexandria.

Geometry as CIF:
```
data_CdHgPb
_symmetry_space_group_name_H-M 'F m m 2'
_symmetry_Int_Tables_number 42
_symmetry_space_group_name_Hall 'F 2 -2'
_cell_length_a 3.4555
_cell_length_b 5.6190
_cell_length_c 15.5387
_cell_angle_alpha 90.00
_cell_angle_beta 90.00
_cell_angle_gamma 90.00
loop_
_atom_site_label
_atom_site_fract_x
_atom_site_fract_y
_atom_site_fract_z
_atom_site_occupancy
Cd1 0.0000 0.0000 0.0000 1
Hg1 0.0000 0.0000 0.6543 1
Pb1 0.0000 0.0000 0.3274 1
```

Results
DOS(E_F), states/eV/f.u.: 1.208
Energy of formation, eV per atom: 0.068
VASP energy, eV per cell: -696.625

=====

The following is a meta-GGA SCAN calculation of a crystal of MgSbIr2 relaxed with PBEsol, from Alexandria.

Geometry as CIF:
```
data_MgSbIr2
_symmetry_space_group_name_H-M 'P 4 m m'
_symmetry_Int_Tables_number 99
_cell_length_a 2.9895
_cell_length_b 2.9895
_cell_length_c 7.9653
_cell_angle_alpha 90.00
_cell_angle_beta 90.00
_cell_angle_gamma 90.00
loop_
_symmetry_equiv_pos_as_xyz
'x,y,z'
'-y,x,z'
'-x,-y,z'
'y,-x,z'
'-x,y,z'
'y,x,z'
'x,-y,z'
'-y,-x,z'
loop_
_atom_site_label
_atom_site_fract_x
_atom_site_fract_y
_atom_site_fract_z
_atom_site_occupancy
Mg1 0.0000 0.0000 0.0000 1
Sb1 0.5000 0.5000 0.3483 1
Ir1 0.0000 0.0000 0.5693 1
Ir2 0.5000 0.5000 0.7905 1
```

Results
DOS(E_F), states/eV/f.u.: 3.212
VASP energy, eV per cell: -184.134
Uncorrected formation energy, eV/atom: 0.075

=====

The following is a meta-GGA SCAN calculation of a crystal of CoTePI2 relaxed with PBEsol, from Alexandria.

Geometry as CIF:
```
data_CoTePI2
_symmetry_space_group_name_H-M 'P 4/m m m'
_symmetry_Int_Tables_number 123
_symmetry_space_group_name_Hall '-P 4 2'
_cell_length_a 5.0403
_cell_length_b 5.0403
_cell_length_c 4.8454
_cell_angle_alpha 90.00
_cell_angle_beta 90.00
_cell_angle_gamma 90.00
loop_
_atom_site_label
_atom_site_fract_x
_atom_site_fract_y
_atom_site_fract_z
_atom_site_occupancy
Co1 0.0000 0.0000 0.0000 1
Te1 0.0000 0.0000 0.5000 1
P1 0.5000 0.5000 0.5000 1
I1 0.0000 0.5000 0.0000 1
```

Results
DOS(E_F), states/eV/f.u.: 4.597
VASP energy, eV per cell: -134.003
Uncorrected formation energy, eV/atom: 0.887

=====

The following is a meta-GGA SCAN calculation of a crystal of AsRuO2F relaxed with PBEsol, from Alexandria.

Geometry as CIF:
```
data_AsRuO2F
_symmetry_space_group_name_H-M 'P 4/m m m'
_symmetry_Int_Tables_number 123
_symmetry_space_group_name_Hall '-P 4 2'
_cell_length_a 3.9517
_cell_length_b 3.9517
_cell_length_c 3.9996
_cell_angle_alpha 90.00
_cell_angle_beta 90.00
_cell_angle_gamma 90.00
loop_
_atom_site_label
_atom_site_fract_x
_atom_site_fract_y
_atom_site_fract_z
_atom_site_occupancy
As1 0.0000 0.0000 0.0000 1
Ru1 0.5000 0.5000 0.5000 1
O1 0.0000 0.5000 0.0000 1
F1 0.0000 0.0000 0.5000 1
```

Results
DOS(E_F), states/eV/f.u.: 2.887
VASP energy, eV per cell: -72.278
Uncorrected formation energy, eV/atom: -0.252

=====

The following is a meta-GGA SCAN calculation of a crystal of LaIn2Au2 relaxed with PBEsol, from Alexandria.

Geometry as CIF:
```
data_LaIn2Au2
_symmetry_space_group_name_H-M 'I 4/m m m'
_symmetry_Int_Tables_number 139
_symmetry_space_group_name_Hall '-I 4 2'
_cell_length_a 4.3322
_cell_length_b 4.3322
_cell_length_c 12.3831
_cell_angle_alpha 90.00
_cell_angle_beta 90.00
_cell_angle_gamma 90.00
loop_
_atom_site_label
_atom_site_fract_x
_atom_site_fract_y
_atom_site_fract_z
_atom_site_occupancy
La1 0.0000 0.0000 0.0000 1
In1 0.0000 0.5000 0.2500 1
Au1 0.0000 0.0000 0.3927 1
```

Results
DOS(E_F), states/eV/f.u.: 2.452
Energy of formation, eV per atom: -0.784
VASP energy, eV per cell: -504.224